Below is an optimized crystal structure of LaReB, with properties calculated at the PBE level.

Output
- Total moment: 0.8 μB per formula unit
- Calculated volume: 21.24 Å³ per atom
- E: -5.881 eV/atom
- Space-group type: F-43m (216)

Cell and atoms, written as POSCAR:
```
LaReB
1.0
0.000 3.170 3.170
3.170 0.000 3.170
3.170 3.170 0.000
La Re B
1 1 1
Direct
0.000 0.000 0.000 La
0.250 0.250 0.250 Re
0.750 0.750 0.750 B
```